# 1
Tl8InHg6 after structural relaxation, computed with PBE-GGA.

Structure (extended XYZ):
```
15
Lattice="4.401 2.541 7.037 -4.401 2.541 7.037 0.000 -5.082 7.037" Properties=species:S:1:pos:R:3 pbc="T T T"
Tl -3.043 -0.044 8.086
Tl 0.000 0.000 3.529
Tl -1.484 -2.657 13.023
Tl 1.560 -2.614 8.086
Tl -1.560 2.614 13.023
Tl 1.484 2.657 8.086
Tl 0.000 0.000 17.581
Tl 3.043 0.044 13.023
In 0.000 0.000 10.555
Hg -1.383 -2.461 9.296
Hg -2.823 -0.033 11.814
Hg -1.440 2.428 9.296
Hg 1.440 -2.428 11.814
Hg 2.823 0.033 9.296
Hg 1.383 2.461 11.814
```

Output
**Energy above the lowest structure with this stoichiometry**: 0 meV/atom
**Calculated density**: 10.4 g cm⁻³
**Energy of formation from the pure elements**: 0.02 eV per atom
**DOS at the Fermi energy**: 5.707 states/eV per cell


# 2
Cd2BiF after structural relaxation, computed with PBE-GGA.

Structure (extended XYZ):
```
16
Lattice="5.695 0.000 0.000 0.000 5.695 0.000 0.000 0.000 13.778" Properties=species:S:1:pos:R:3 pbc="T T T"
Cd 1.004 1.424 1.722
Cd 1.424 3.852 5.167
Cd 1.424 4.691 12.055
Cd 1.844 1.424 8.611
Cd 3.852 4.272 8.611
Cd 4.272 1.004 12.055
Cd 4.272 1.844 5.167
Cd 4.691 4.272 1.722
Bi 0.000 0.000 6.889
Bi 0.000 2.848 10.333
Bi 2.848 0.000 3.444
Bi 2.848 2.848 0.000
F 0.000 0.000 0.000
F 0.000 2.848 3.444
F 2.848 0.000 10.333
F 2.848 2.848 6.889
```

Output
**Energy above the lowest structure with this stoichiometry**: 0 meV/atom
**Calculated density**: 6.7 g cm⁻³
**E_form (uncorrected)**: -0.6463 eV/atom
**DOS at the Fermi energy**: 0.989 states/eV per cell


# 3
TaSCl3 after structural relaxation, computed with PBE-GGA.

Structure (extended XYZ):
```
5
Lattice="4.821 0.000 0.000 0.000 4.821 0.000 0.000 0.000 4.821" Properties=species:S:1:pos:R:3 pbc="T T T"
Ta 0.000 0.000 0.000
S 2.411 2.411 2.411
Cl 0.000 0.000 2.411
Cl 0.000 2.411 0.000
Cl 2.411 0.000 0.000
```

Output
**Energy above the lowest structure with this stoichiometry**: 1126 meV/atom
**Calculated density**: 4.7 g cm⁻³
**E_form (uncorrected)**: -0.0405 eV/atom
**DOS at the Fermi energy**: 25.009 states/eV per cell